A plane-wave DFT calculation with GGA-PBE was carried out for an optimized crystal structure of Tb2Dy5Sb5.

SG: C2/m, No. 12
Energy relative to the elements, uncorrected in eV/f.u.: -10.149

Cell and atoms, written as POSCAR:
```
Tb2Dy5Sb5
1.0
7.084 -2.171 0.000
7.084 2.171 0.000
-4.080 0.000 11.919
Tb Dy Sb
2 5 5
Cartesian
-0.554 0.000 3.384
10.643 0.000 8.535
3.297 0.000 1.867
2.936 0.000 5.521
7.084 0.000 0.000
7.154 0.000 6.399
6.793 0.000 10.052
-2.040 0.000 5.960
-2.106 0.000 11.133
1.404 0.000 8.418
8.685 0.000 3.501
12.195 0.000 0.786
```


A plane-wave DFT calculation with GGA-PBE was carried out for an optimized crystal structure of Ac2LaTaN4.

SG: Cmcm, No. 63
Energy relative to the elements, uncorrected in eV/f.u.: -7.952

Cell and atoms, written as POSCAR:
```
Ac2LaTaN4
1.0
1.796 -6.343 0.000
1.796 6.343 0.000
0.000 0.000 13.355
Ac La Ta N
4 2 2 8
Cartesian
1.796 4.648 7.151
1.796 4.648 12.881
1.796 -4.648 0.474
1.796 -4.648 6.203
1.796 1.194 10.016
1.796 -1.194 3.339
1.796 2.223 3.339
1.796 -2.223 10.016
1.796 5.225 10.016
1.796 3.504 1.892
1.796 3.504 4.785
1.796 0.000 0.000
1.796 0.000 6.677
1.796 -3.504 8.569
1.796 -3.504 11.463
1.796 -5.225 3.339
```


A plane-wave DFT calculation with GGA-PBE was carried out for an optimized crystal structure of Sc2TlRe.

SG: F-43m, No. 216
VASP energy in eV/atom: -6.650

Cell and atoms, written as POSCAR:
```
Sc2TlRe
1.0
0.000 3.388 3.388
3.388 0.000 3.388
3.388 3.388 0.000
Sc Tl Re
2 1 1
Cartesian
0.000 0.000 0.000
1.694 1.694 1.694
5.081 5.081 5.081
3.388 3.388 3.388
```


A plane-wave DFT calculation with GGA-PBE was carried out for an optimized crystal structure of HoOsO4.

SG: P2_1/c, No. 14
Offset from the most stable computed form in meV per atom: 0
Energy relative to the elements, uncorrected in eV/f.u.: -12.448

Cell and atoms, written as POSCAR:
```
HoOsO4
1.0
7.679 0.000 0.000
0.000 5.313 0.000
-1.234 0.000 7.276
Ho Os O
4 4 16
Cartesian
0.644 1.140 2.839
0.026 1.517 6.477
6.419 3.796 0.800
5.801 4.174 4.438
2.359 3.872 1.472
1.742 4.097 5.110
4.703 1.216 2.166
4.085 1.441 5.804
0.634 2.778 1.287
0.017 5.192 4.925
1.303 0.088 0.870
0.685 2.569 4.508
1.375 3.332 6.886
1.992 4.638 3.248
2.444 0.439 5.846
3.061 2.217 2.208
3.384 3.096 5.068
4.001 4.874 1.430
4.453 0.675 4.028
5.070 1.981 0.390
5.759 2.744 2.769
5.142 5.226 6.407
6.428 0.121 2.351
5.811 2.536 5.989
```


A plane-wave DFT calculation with GGA-PBE was carried out for an optimized crystal structure of AcIn3Ag8.

SG: P3m1, No. 156
VASP energy in eV/atom: -3.015

Cell and atoms, written as POSCAR:
```
AcIn3Ag8
1.0
5.648 0.000 0.000
-2.824 4.891 0.000
0.000 0.000 9.485
Ac In Ag
1 3 8
Cartesian
0.000 0.000 0.000
0.000 0.000 3.607
2.824 1.630 4.666
2.824 1.630 8.034
0.000 1.611 6.440
-1.429 4.086 6.440
0.000 3.261 4.121
0.000 3.261 8.817
2.824 0.021 1.820
1.430 2.435 1.820
1.429 4.086 6.440
4.218 2.435 1.820
```


A plane-wave DFT calculation with GGA-PBE was carried out for an optimized crystal structure of Pm2ErAl3.

SG: P4/mmm, No. 123
VASP energy in eV/atom: -4.594

Cell and atoms, written as POSCAR:
```
Pm2ErAl3
1.0
3.640 0.000 0.000
0.000 3.640 0.000
0.000 0.000 11.054
Pm Er Al
2 1 3
Cartesian
0.000 0.000 1.898
0.000 0.000 9.155
0.000 0.000 5.527
1.820 1.820 0.000
1.820 1.820 3.821
1.820 1.820 7.232
```


A plane-wave DFT calculation with GGA-PBE was carried out for an optimized crystal structure of CaC3O.

SG: Pm-3m, No. 221
Offset from the most stable computed form in meV per atom: 0
Energy relative to the elements, uncorrected in eV/f.u.: 12.169

Cell and atoms, written as POSCAR:
```
CaC3O
1.0
3.844 0.000 0.000
0.000 3.844 0.000
0.000 0.000 3.844
Ca C O
1 3 1
Cartesian
0.000 0.000 0.000
0.000 1.922 1.922
1.922 0.000 1.922
1.922 1.922 0.000
1.922 1.922 1.922
```


A plane-wave DFT calculation with GGA-PBE was carried out for an optimized crystal structure of CdAg3Sn2.

SG: Cmcm, No. 63
VASP energy in eV/atom: -2.863

Cell and atoms, written as POSCAR:
```
CdAg3Sn2
1.0
6.323 -3.858 0.000
6.323 3.858 0.000
0.000 0.000 5.740
Cd Ag Sn
2 6 4
Cartesian
6.323 2.549 4.305
6.323 -2.549 1.435
2.154 0.000 0.000
2.154 0.000 2.870
6.323 0.000 0.000
6.323 0.000 2.870
10.491 0.000 0.000
10.491 0.000 2.870
4.249 1.382 1.435
8.396 1.382 1.435
4.249 -1.382 4.305
8.396 -1.382 4.305
```


A plane-wave DFT calculation with GGA-PBE was carried out for an optimized crystal structure of TcIr2Ru.

SG: P4mm, No. 99
Offset from the most stable computed form in meV per atom: 114

Cell and atoms, written as POSCAR:
```
TcIr2Ru
1.0
2.723 0.000 0.000
0.000 2.723 0.000
0.000 0.000 7.749
Tc Ir Ru
1 2 1
Cartesian
0.000 0.000 0.000
0.000 0.000 3.911
1.362 1.362 1.904
1.362 1.362 5.802
```


A plane-wave DFT calculation with GGA-PBE was carried out for an optimized crystal structure of Nd2TlF7.

SG: Cmmm, No. 65
Energy relative to the elements, uncorrected in eV/f.u.: -36.135

Cell and atoms, written as POSCAR:
```
Nd2TlF7
1.0
3.704 -5.904 0.000
3.704 5.904 0.000
0.000 0.000 4.565
Nd Tl F
2 1 7
Cartesian
3.704 3.612 0.000
3.704 -3.612 0.000
3.704 0.000 2.282
0.000 0.000 0.000
2.298 1.700 0.000
3.704 3.368 2.282
2.298 -1.700 0.000
5.109 1.700 0.000
3.704 -3.368 2.282
5.109 -1.700 0.000
```


A plane-wave DFT calculation with GGA-PBE was carried out for an optimized crystal structure of Hf3P2H6.

SG: P-62m, No. 189
VASP energy in eV/atom: -6.125

Cell and atoms, written as POSCAR:
```
Hf3P2H6
1.0
6.357 0.000 0.000
-3.179 5.505 0.000
0.000 0.000 3.356
Hf P H
3 2 6
Cartesian
-1.150 1.993 0.000
2.301 0.000 0.000
2.028 3.513 0.000
0.000 3.670 1.678
3.179 1.835 1.678
-0.626 1.084 1.678
-2.210 3.828 0.000
1.251 0.000 1.678
0.969 1.678 0.000
4.420 0.000 0.000
2.553 4.422 1.678
```


A plane-wave DFT calculation with GGA-PBE was carried out for an optimized crystal structure of Mg5Re24.

SG: I-43m, No. 217
VASP energy in eV/atom: -10.582

Cell and atoms, written as POSCAR:
```
Mg5Re24
1.0
-4.847 4.847 4.847
4.847 -4.847 4.847
4.847 4.847 -4.847
Mg Re
5 24
Cartesian
0.000 0.000 0.000
1.722 1.722 -1.722
1.722 -1.722 1.722
-1.722 1.722 1.722
3.125 3.125 3.125
4.478 1.370 -1.370
4.478 -1.370 1.370
6.927 0.898 -0.898
6.927 -0.898 0.898
2.766 0.898 0.898
3.948 3.948 -2.080
3.948 -2.080 3.948
5.215 1.370 1.370
1.370 4.478 -1.370
1.370 -1.370 4.478
0.898 2.766 0.898
0.898 0.898 2.766
3.477 3.477 0.368
3.477 0.368 3.477
-1.370 4.478 1.370
-1.370 1.370 4.478
0.898 6.927 -0.898
0.898 -0.898 6.927
1.370 5.215 1.370
1.370 1.370 5.215
0.368 3.477 3.477
-0.898 6.927 0.898
-0.898 0.898 6.927
-2.080 3.948 3.948
```